No. 1
The following is a PBE-GGA calculation of an optimized crystal structure of CaCeMnN3, from Alexandria.

## Properties
Crystal system: monoclinic
Final energy, eV per atom: -7.954
Magnetization, μB/f.u.: 1.668
Theoretical density, Mg/m³: 4.929
Formation energy (no corrections), eV/atom: -0.94

Cell lengths 3.461, 7.120, 7.613 Å; angles 95.46, 90.00, 90.00 degrees
Site moments in Bohr magnetons follow the coordinates.
Sites, in units of the cell vectors:
N 0.750 0.162 0.532  -0.05
N 0.750 0.879 0.164  0.03
Mn 0.250 0.078 0.592  1.46
Ca 0.250 0.153 0.161  0.01
Ca 0.750 0.847 0.839  0.01
N 0.750 0.407 0.127  -0.01
Ce 0.750 0.370 0.823  0.11
N 0.250 0.121 0.836  0.03
Mn 0.750 0.922 0.408  1.46
N 0.250 0.838 0.468  -0.05
Ce 0.250 0.630 0.177  0.11
N 0.250 0.593 0.873  -0.01



No. 2
The following is a PBE-GGA calculation of an optimized crystal structure of Ca2CeMoN4, from Alexandria.

## Properties
Crystal system: orthorhombic
Final energy, eV per atom: -7.589
Magnetization, μB/f.u.: 0.792
Theoretical density, Mg/m³: 5.010
Formation energy (no corrections), eV/atom: -0.83

Cell lengths 3.400, 6.202, 12.167 Å; angles 90.00, 90.00, 105.91 degrees
Site moments in Bohr magnetons follow the coordinates.
Sites, in units of the cell vectors:
Ca 0.626 0.251 0.466  0.00
Mo 0.825 0.650 0.750  0.05
N 0.272 0.543 0.366  -0.01
Ce 0.916 0.832 0.250  0.69
N 0.000 0.000 0.500  -0.02
N 0.728 0.457 0.634  -0.01
N 0.272 0.543 0.134  -0.01
N 0.728 0.457 0.866  -0.01
N 0.429 0.859 0.750  -0.01
Ca 0.374 0.749 0.966  0.00
N 0.571 0.141 0.250  -0.01
N 0.000 0.000 0.000  -0.02
Mo 0.175 0.350 0.250  0.05
Ca 0.626 0.251 0.034  0.00
Ca 0.374 0.749 0.534  0.00
Ce 0.084 0.168 0.750  0.69